Density functional theory data (PBE) for crystalline LiTeP2 at its relaxed geometry.

mass density: 3.80 g cm⁻³
SG: P4mm
energy relative to the elements, uncorrected: -0.0987 eV/atom
total magnetization: 0.00 μB/cell

The structure in POSCAR format:
```
LiTeP2
1.0
3.100 0.000 0.000
0.000 3.100 0.000
0.000 0.000 8.937
Li Te P
1 1 2
direct
0.000 0.000 0.000 Li
0.500 0.500 0.751 Te
0.000 0.000 0.324 P
0.500 0.500 0.214 P
```